--- w ---
Computed, not measured: an optimized crystal structure of SiAuBr2 at the PBE level of DFT.

```
SiAuBr2
1.0
3.952 0.000 0.000
0.000 3.349 -0.188
0.000 -3.062 7.855
Si Br Au
1 2 1
Cartesian
1.976 0.072 1.917
0.000 0.177 3.782
0.000 3.316 -0.137
1.976 0.215 5.751
```

Total magnetic moment (μB per formula unit): 0.0
Density of states at the Fermi level (states/eV per atom): 0.455



--- x ---
Computed, not measured: an optimized crystal structure of SiAuBr2 at the PBE level of DFT.

```
SiAuBr2
1.0
-3.520 -4.527 8.378
-0.022 -4.229 9.230
-2.260 -1.450 9.791
Br Si Au
2 1 1
Cartesian
-0.626 -1.101 2.956
-5.176 -9.106 24.444
-2.901 -5.103 13.700
0.000 0.000 0.000
```

Total magnetic moment (μB per formula unit): 0.0
Density of states at the Fermi level (states/eV per atom): 0.121



--- y ---
Computed, not measured: an optimized crystal structure of SiAuBr2 at the PBE level of DFT.

```
SiAuBr2
1.0
-2.404 5.164 6.518
-5.122 2.608 6.472
-1.911 1.885 8.229
Br Au Si
2 1 1
Cartesian
-2.099 2.147 4.719
-0.257 0.263 0.578
-7.226 7.393 16.246
-4.575 4.681 10.286
```

Total magnetic moment (μB per formula unit): 0.0
Density of states at the Fermi level (states/eV per atom): 0.808



--- z ---
Computed, not measured: an optimized crystal structure of SiAuBr2 at the PBE level of DFT.

```
SiAuBr2
1.0
-1.733 -4.517 1.291
-1.606 -3.168 -3.530
2.659 -4.104 -1.079
Au Br Si
1 2 1
Cartesian
-0.341 -5.894 -1.659
0.000 0.000 0.000
-0.170 -2.947 -0.830
-0.511 -8.841 -2.489
```

Total magnetic moment (μB per formula unit): 0.0
Density of states at the Fermi level (states/eV per atom): 1.089



Which of them is least stable? Easy: z.



--- w ---
Computed, not measured: an optimized crystal structure of SiAu3Br at the PBE level of DFT.

```
SiAu3Br
1.0
-4.670 -0.989 -0.947
-0.787 -0.816 4.732
-1.121 4.694 0.623
Au Si Br
3 1 1
Cartesian
-0.393 -0.408 2.366
-2.335 -0.495 -0.473
-0.560 2.347 0.312
0.000 0.000 0.000
-3.289 1.444 2.204
```

Total magnetic moment (μB per formula unit): 0.0
Density of states at the Fermi level (states/eV per atom): 1.248



--- x ---
Computed, not measured: an optimized crystal structure of SiAu3Br at the PBE level of DFT.

```
SiAu3Br
1.0
5.102 0.000 0.000
0.000 5.102 0.000
0.000 0.000 5.102
Si Au Br
1 3 1
Cartesian
2.551 2.551 2.551
0.000 2.551 0.000
0.000 0.000 2.551
2.551 0.000 0.000
0.000 0.000 0.000
```

Total magnetic moment (μB per formula unit): 0.0
Density of states at the Fermi level (states/eV per atom): 0.827



Which of them is least stable? Easy: x.



--- w ---
Computed, not measured: an optimized crystal structure of SnAuBr2 at the PBE level of DFT.

```
SnAuBr2
1.0
3.031 -3.817 -1.988
-1.866 -4.906 -0.395
-1.088 -2.029 -4.733
Sn Br Au
1 2 1
Cartesian
0.000 0.000 0.000
0.019 -2.688 -1.779
0.058 -8.064 -5.337
0.038 -5.376 -3.558
```

Total magnetic moment (μB per formula unit): 0.0
Density of states at the Fermi level (states/eV per atom): 0.795



--- x ---
Computed, not measured: an optimized crystal structure of SnAuBr2 at the PBE level of DFT.

```
SnAuBr2
1.0
7.982 0.000 0.000
0.000 7.982 0.000
3.991 3.991 3.468
Br Sn Au
4 2 2
Cartesian
5.986 5.869 2.601
9.977 10.094 2.601
6.103 1.995 0.867
1.878 5.986 0.867
3.991 3.991 0.000
3.991 7.982 1.734
0.000 0.000 0.000
7.982 3.991 1.734
```

Total magnetic moment (μB per formula unit): 0.0
Density of states at the Fermi level (states/eV per atom): 1.252



Which of them is least stable? Easy: x.